No. 1
Compound: AcPmOsAu
Source: Alexandria via LeMat-Bulk
Functional: GGA-PBE
Structure: optimized geometry

Its symmetry is No. 216. Its formation energy is -93 kJ/mol of formula units.

POSCAR file:
```
AcPmOsAu
1.0
0.000 3.688 3.688
3.688 0.000 3.688
3.688 3.688 0.000
Ac Pm Os Au
1 1 1 1
direct
0.000 0.000 0.000
0.500 0.500 0.500
0.750 0.750 0.750
0.250 0.250 0.250
```



No. 2
Compound: VSbTe2N
Source: Alexandria via LeMat-Bulk
Functional: GGA-PBE
Structure: optimized geometry

Its symmetry is No. 123. For the energy above the most stable polymorph in this dataset, the calculation gives 850 meV/atom. As for the formation energy without anion corrections: 0.928 eV/atom.

POSCAR file:
```
VSbTe2N
1.0
4.647 0.000 0.000
0.000 4.647 0.000
0.000 0.000 4.699
V Sb Te N
1 1 2 1
direct
0.000 0.000 0.000
0.500 0.500 0.000
0.000 0.500 0.500
0.500 0.000 0.500
0.500 0.500 0.500
```



No. 3
Compound: SbRhBr2
Source: Alexandria via LeMat-Bulk
Functional: GGA-PBE
Structure: optimized geometry

Its symmetry is No. 69. For the energy above the most stable polymorph in this dataset, the calculation gives 746 meV/atom. As for the formation energy without anion corrections: 0.304 eV/atom.

POSCAR file:
```
SbRhBr2
1.0
0.000 3.385 4.512
3.106 0.000 4.512
3.106 3.385 0.000
Sb Rh Br
1 1 2
direct
0.000 0.000 0.000
0.500 0.500 0.500
0.000 0.500 0.500
0.500 0.000 0.000
```



No. 4
Compound: Ba2Tl2Au3
Source: Alexandria via LeMat-Bulk
Functional: GGA-PBE
Structure: optimized geometry

Its symmetry is No. 12. Its formation energy is -315 kJ/mol of formula units.

POSCAR file:
```
Ba2Tl2Au3
1.0
8.433 -2.387 0.000
8.433 2.387 0.000
-7.865 0.000 11.397
Ba Tl Au
4 4 6
direct
0.107 0.107 0.451
0.230 0.230 0.835
0.770 0.770 0.165
0.893 0.893 0.549
0.103 0.103 0.174
0.444 0.444 0.173
0.556 0.556 0.827
0.897 0.897 0.826
0.114 0.114 0.972
0.336 0.336 0.677
0.426 0.426 0.378
0.574 0.574 0.622
0.664 0.664 0.323
0.886 0.886 0.028
```



No. 5
Compound: CePuZr2
Source: Alexandria via LeMat-Bulk
Functional: GGA-PBE
Structure: optimized geometry

Its symmetry is No. 166. For the energy above the most stable polymorph in this dataset, the calculation gives 140 meV/atom. Its formation energy is 90 kJ/mol of formula units.

POSCAR file:
```
CePuZr2
1.0
1.593 0.920 11.307
-1.593 0.920 11.307
0.000 -1.840 11.307
Ce Pu Zr
1 1 2
direct
0.000 0.000 0.000
0.500 0.500 0.500
0.090 0.090 0.090
0.910 0.910 0.910
```



No. 6
Compound: MnReSe2
Source: Alexandria via LeMat-Bulk
Functional: GGA-PBE
Structure: optimized geometry

Its symmetry is No. 225. For the energy above the most stable polymorph in this dataset, the calculation gives 606 meV/atom. As for the formation energy without anion corrections: 0.469 eV/atom.

POSCAR file:
```
MnReSe2
1.0
0.000 3.064 3.064
3.064 0.000 3.064
3.064 3.064 0.000
Mn Re Se
1 1 2
direct
0.000 0.000 0.000
0.500 0.500 0.500
0.250 0.250 0.250
0.750 0.750 0.750
```



The Fermi-level density of states results, record by record, are as follows: 0.765 1.862 0.762 0.531 2.445 0.965 states/eV per atom.
The M_tot results, record by record, are as follows: 0.00 0.00 0.00 0.00 5.48 0.00 μB/f.u..